(1)
A plane-wave DFT calculation with GGA-PBE was carried out for crystalline NaInS2N at its relaxed geometry.

Output
- D(E_F): 3.61 states/eV per cell
- Formation energy from raw total energies: 0.4514 eV per atom
- Calculated density: 2.9 g cm⁻³
- Energy relative to the lowest polymorph listed for this composition: 0.00 kJ/mol of atoms

Unit cell a=5.323 b=5.323 c=4.305 alpha=90.00 beta=90.00 gamma=90.00
Space group P4/mmm (No. 123)
Asymmetric unit:
Na 0.000 0.000 0.000 (multiplicity 1)
In 0.500 0.500 0.500 (multiplicity 1)
S 0.000 0.500 0.500 (multiplicity 2)
N 0.500 0.500 0.000 (multiplicity 1)

(2)
A plane-wave DFT calculation with GGA-PBE was carried out for crystalline NaInSN2 at its relaxed geometry.

Output
- D(E_F): 2.37 states/eV per cell
- Formation energy from raw total energies: 0.9822 eV per atom
- Calculated density: 3.3 g cm⁻³
- Energy relative to the lowest polymorph listed for this composition: 0.00 kJ/mol of atoms

Unit cell a=4.376 b=4.376 c=5.280 alpha=90.00 beta=90.00 gamma=90.00
Space group P4/mmm (No. 123)
Asymmetric unit:
Na 0.000 0.000 0.000 (multiplicity 1)
In 0.500 0.500 0.500 (multiplicity 1)
S 0.500 0.500 0.000 (multiplicity 1)
N 0.000 0.500 0.500 (multiplicity 2)

(3)
A plane-wave DFT calculation with GGA-PBE was carried out for crystalline NaInS2N at its relaxed geometry.

Output
- D(E_F): 3.00 states/eV per cell
- Formation energy from raw total energies: 1.1011 eV per atom
- Calculated density: 3.5 g cm⁻³
- Energy relative to the lowest polymorph listed for this composition: 62.69 kJ/mol of atoms

Unit cell a=4.970 b=4.970 c=4.108 alpha=90.00 beta=90.00 gamma=90.00
Space group P4/mmm (No. 123)
Asymmetric unit:
Na 0.000 0.000 0.000 (multiplicity 1)
In 0.500 0.500 0.500 (multiplicity 1)
S 0.000 0.500 0.000 (multiplicity 2)
N 0.000 0.000 0.500 (multiplicity 1)

Please write out number 3 again, unchanged.
A plane-wave DFT calculation with GGA-PBE was carried out for crystalline NaInS2N at its relaxed geometry.

Output
- D(E_F): 3.00 states/eV per cell
- Formation energy from raw total energies: 1.1011 eV per atom
- Calculated density: 3.5 g cm⁻³
- Energy relative to the lowest polymorph listed for this composition: 62.69 kJ/mol of atoms

Unit cell a=4.970 b=4.970 c=4.108 alpha=90.00 beta=90.00 gamma=90.00
Space group P4/mmm (No. 123)
Asymmetric unit:
Na 0.000 0.000 0.000 (multiplicity 1)
In 0.500 0.500 0.500 (multiplicity 1)
S 0.000 0.500 0.000 (multiplicity 2)
N 0.000 0.000 0.500 (multiplicity 1)